The following is a PBE calculation of a relaxed BePAu crystal, from Alexandria.

The structure in POSCAR format:
```
BePAu
1.0
-1.725 1.945 -4.725
0.910 -3.252 -1.671
-5.229 -1.314 -0.288
Be Au P
2 2 2
direct
0.739 0.425 0.856 Be
0.239 0.944 0.356 Be
0.861 0.186 0.233 Au
0.361 0.185 0.733 Au
0.064 0.465 0.531 P
0.564 0.906 0.030 P
```

Calculated values
- Theoretical density: 7.45 g/cm3
- DFT formation energy: -171.6 meV/atom